Record 1
Material: ZrCrSbTe2
Method: DFT, SCAN
State: single point on PBEsol structure

Cell: 5.477 5.477 5.495 Å, 90.00 90.00 90.00°
Space group P4/mmm (No. 123)
Unique sites:
Zr  0.000  0.000  0.000 x1
Cr  0.500  0.500  0.500 x1
Sb  0.000  0.000  0.500 x1
Te  0.000  0.500  0.000 x2

Values from the calculation:
E in eV/f.u.: -159.47
D(E_F) in states/eV/f.u.: 4.39
Formation energy from raw total energies in eV per atom: 0.276
Volume in Å³ per atom: 32.97
Size of the total moment in μB/cell: 4.255



Record 2
Material: Ti10CrSb5
Method: DFT, SCAN
State: single point on PBEsol structure

Cell: 10.389 10.389 5.179 Å, 90.00 90.00 90.00°
Space group I422 (No. 97)
Unique sites:
Ti  0.000  0.500  0.000 x4
Ti  0.075  0.216  0.265 x16
Cr  0.000  0.000  0.500 x2
Sb  0.000  0.000  0.000 x2
Sb  0.164  0.336  0.750 x8

Values from the calculation:
E in eV/f.u.: -373.21
D(E_F) in states/eV/f.u.: 14.29
Formation energy from raw total energies in eV per atom: -0.514
Volume in Å³ per atom: 17.47
Size of the total moment in μB/cell: 0.003



Record 3
Material: TlCrSb2
Method: DFT, SCAN
State: single point on PBEsol structure

Cell: 3.139 3.479 17.992 Å, 90.00 90.00 90.00°
Space group Imm2 (No. 44)
Unique sites:
Tl  0.000  0.000  0.000 x2
Cr  0.000  0.500  0.733 x2
Sb  0.000  0.000  0.355 x2
Sb  0.000  0.500  0.159 x2

Values from the calculation:
E in eV/f.u.: -164.72
D(E_F) in states/eV/f.u.: 2.03
Formation energy from raw total energies in eV per atom: 0.135
Volume in Å³ per atom: 24.57
Size of the total moment in μB/cell: 6.830



Record 4
Material: Tl2CrSb
Method: DFT, SCAN
State: single point on PBEsol structure

Cell: 7.335 7.335 7.335 Å, 90.00 90.00 90.00°
Space group F-43m (No. 216)
Unique sites:
Tl  0.000  0.000  0.000 x4
Tl  0.250  0.250  0.250 x4
Cr  0.250  0.250  0.750 x4
Sb  0.000  0.000  0.500 x4

Values from the calculation:
E in eV/f.u.: -199.36
D(E_F) in states/eV/f.u.: 1.11
Formation energy from raw total energies in eV per atom: 0.250
Volume in Å³ per atom: 24.66
Size of the total moment in μB/cell: 19.414



Record 5
Material: TlCrSb2
Method: DFT, SCAN
State: single point on PBEsol structure

Cell: 6.106 6.106 13.495 Å, 90.00 90.00 90.00°
Space group I-42d (No. 122)
Unique sites:
Tl  0.000  0.000  0.000 x4
Cr  0.000  0.000  0.500 x4
Sb  0.200  0.250  0.625 x8

Values from the calculation:
E in eV/f.u.: -164.40
D(E_F) in states/eV/f.u.: 1.70
Formation energy from raw total energies in eV per atom: 0.215
Volume in Å³ per atom: 31.45
Size of the total moment in μB/cell: 11.986



Record 6
Material: Tl2CrSb
Method: DFT, SCAN
State: single point on PBEsol structure

Cell: 3.899 3.899 6.354 Å, 90.00 90.00 90.00°
Space group P4/mmm (No. 123)
Unique sites:
Tl  0.000  0.000  0.242 x2
Cr  0.500  0.500  0.000 x1
Sb  0.500  0.500  0.500 x1

Values from the calculation:
E in eV/f.u.: -199.11
D(E_F) in states/eV/f.u.: 2.00
Formation energy from raw total energies in eV per atom: 0.312
Volume in Å³ per atom: 24.15
Size of the total moment in μB/cell: 4.551



Record 7
Material: TlCrSb2
Method: DFT, SCAN
State: single point on PBEsol structure

Cell: 4.716 4.716 8.504 Å, 90.00 90.00 90.00°
Space group I4/mmm (No. 139)
Unique sites:
Tl  0.000  0.000  0.000 x2
Cr  0.000  0.000  0.500 x2
Sb  0.000  0.500  0.250 x4

Values from the calculation:
E in eV/f.u.: -164.18
D(E_F) in states/eV/f.u.: 1.77
Formation energy from raw total energies in eV per atom: 0.271
Volume in Å³ per atom: 23.65
Size of the total moment in μB/cell: 7.993



Record 8
Material: Tl2CrSb
Method: DFT, SCAN
State: single point on PBEsol structure

Cell: 3.3300 3.3300 29.8893 Å, 90.00 90.00 120.00°
Space group R-3m (No. 166, hexagonal axes)
Unique sites:
Tl  0.0000  0.0000  0.2414 x6
Cr  0.0000  0.0000  0.5000 x3
Sb  0.0000  0.0000  0.0000 x3

Values from the calculation:
E in eV/f.u.: -198.95
D(E_F) in states/eV/f.u.: 2.05
Formation energy from raw total energies in eV per atom: 0.352
Volume in Å³ per atom: 23.92
Size of the total moment in μB/cell: 13.916



Record 9
Material: TlCrSb
Method: DFT, SCAN
State: single point on PBEsol structure

Cell: 6.623 6.623 6.623 Å, 90.00 90.00 90.00°
Space group F-43m (No. 216)
Unique sites:
Tl  0.000  0.000  0.000 x4
Cr  0.250  0.250  0.750 x4
Sb  0.000  0.000  0.500 x4

Values from the calculation:
E in eV/f.u.: -127.81
D(E_F) in states/eV/f.u.: 0.77
Formation energy from raw total energies in eV per atom: 0.065
Volume in Å³ per atom: 24.21
Size of the total moment in μB/cell: 15.995



Record 10
Material: TlCr2Sb
Method: DFT, SCAN
State: single point on PBEsol structure

Cell: 3.921 3.921 9.724 Å, 90.00 90.00 90.00°
Space group I-4m2 (No. 119)
Unique sites:
Tl  0.000  0.000  0.000 x2
Cr  0.000  0.000  0.500 x2
Cr  0.000  0.500  0.250 x2
Sb  0.000  0.500  0.750 x2

Values from the calculation:
E in eV/f.u.: -145.14
D(E_F) in states/eV/f.u.: 2.31
Formation energy from raw total energies in eV per atom: 0.313
Volume in Å³ per atom: 18.69
Size of the total moment in μB/cell: 14.109



Record 11
Material: CrSbW2
Method: DFT, SCAN
State: single point on PBEsol structure

Cell: 3.217 4.280 8.956 Å, 90.00 90.00 90.00°
Space group Immm (No. 71)
Unique sites:
Cr  0.000  0.000  0.000 x2
Sb  0.000  0.000  0.500 x2
W  0.000  0.500  0.259 x4

Values from the calculation:
E in eV/f.u.: -193.43
D(E_F) in states/eV/f.u.: 2.09
Formation energy from raw total energies in eV per atom: 0.398
Volume in Å³ per atom: 15.41
Size of the total moment in μB/cell: 0.001



Record 12
Material: CrSbW2
Method: DFT, SCAN
State: single point on PBEsol structure

Cell: 6.281 6.281 6.281 Å, 90.00 90.00 90.00°
Space group F-43m (No. 216)
Unique sites:
Cr  0.000  0.000  0.000 x4
Sb  0.250  0.250  0.250 x4
W  0.000  0.000  0.500 x4
W  0.250  0.250  0.750 x4

Values from the calculation:
E in eV/f.u.: -193.09
D(E_F) in states/eV/f.u.: 2.02
Formation energy from raw total energies in eV per atom: 0.482
Volume in Å³ per atom: 15.49
Size of the total moment in μB/cell: 4.609